Compound: PrDy2Al2Ga2
Source: Alexandria
Functional: PBE
Structure: relaxed

Mass density = 6.50 g/cm3
Density of states at the Fermi level = 16.018 states/eV/cell
Energy of formation = -0.40 eV per atom
Raw total energy = -4.33 eV/atom
Total magnetization = 0.00 μB/f.u.
V = 168.5 Å³/f.u.

Cell and atoms, written as CIF:
```
data_PrDy2Al2Ga2
_cell_length_a 4.4026
_cell_length_b 4.4026
_cell_length_c 30.1123
_cell_angle_alpha 90.00
_cell_angle_beta 90.00
_cell_angle_gamma 120.00
_symmetry_space_group_name_H-M 'R -3 m'
_symmetry_Int_Tables_number 166
_symmetry_space_group_name_Hall '-R 3 2"'
loop_
_atom_site_label
_atom_site_type_symbol
_atom_site_fract_x
_atom_site_fract_y
_atom_site_fract_z
_atom_site_occupancy
Pr1 Pr 0.0000 0.0000 0.0000 1
Dy1 Dy 0.0000 0.0000 0.1295 1
Al1 Al 0.0000 0.0000 0.3991 1
Ga1 Ga 0.0000 0.0000 0.2540 1
```

Compound: Be2SnF6
Source: Alexandria
Functional: PBE
Structure: relaxed

Mass density = 3.46 g/cm3
Density of states at the Fermi level = 0.000 states/eV/cell
ΔE to the lowest computed polymorph = 20 meV per atom
Raw total energy = -5.41 eV/atom
Total magnetization = 0.00 μB/f.u.
V = 120.3 Å³/f.u.
Energy relative to the elements, uncorrected = -2.8945 eV per atom

Cell and atoms, written as CIF:
```
data_Be2SnF6
_cell_length_a 10.890
_cell_length_b 9.762
_cell_length_c 5.117
_cell_angle_alpha 90.00
_cell_angle_beta 117.82
_cell_angle_gamma 90.00
_symmetry_space_group_name_H-M 'C 1 2/c 1'
_symmetry_Int_Tables_number 15
_symmetry_space_group_name_Hall '-C 2yc'
loop_
_atom_site_label
_atom_site_type_symbol
_atom_site_fract_x
_atom_site_fract_y
_atom_site_fract_z
_atom_site_occupancy
Be1 Be 0.201 0.071 0.289 1
Sn1 Sn 0.000 0.339 0.750 1
F1 F 0.134 0.449 0.546 1
F2 F 0.145 0.030 0.511 1
F3 F 0.162 0.217 0.173 1
```

Compound: PuCu8Au3
Source: Alexandria
Functional: PBE
Structure: relaxed

Mass density = 12.57 g/cm3
Density of states at the Fermi level = 18.710 states/eV/cell
Energy of formation = -0.04 eV per atom
Raw total energy = -4.78 eV/atom
Total magnetization = 5.42 μB/f.u.
V = 177.5 Å³/f.u.

Cell and atoms, written as CIF:
```
data_PuCu8Au3
_cell_length_a 5.0037
_cell_length_b 5.0037
_cell_length_c 8.1863
_cell_angle_alpha 90.00
_cell_angle_beta 90.00
_cell_angle_gamma 120.00
_symmetry_space_group_name_H-M 'P 3 m 1'
_symmetry_Int_Tables_number 156
_symmetry_space_group_name_Hall 'P 3 -2"'
loop_
_atom_site_label
_atom_site_type_symbol
_atom_site_fract_x
_atom_site_fract_y
_atom_site_fract_z
_atom_site_occupancy
Pu1 Pu 0.0000 0.0000 0.0000 1
Cu1 Cu 0.1656 0.3312 0.6799 1
Cu2 Cu 0.3333 0.6667 0.4347 1
Cu3 Cu 0.3333 0.6667 0.9352 1
Cu4 Cu 0.5024 0.0048 0.1953 1
Au1 Au 0.0000 0.0000 0.3793 1
Au2 Au 0.6667 0.3333 0.4981 1
Au3 Au 0.6667 0.3333 0.8683 1
```

Compound: MgMn2Ir
Source: Alexandria
Functional: PBE
Structure: relaxed

Mass density = 9.23 g/cm3
Density of states at the Fermi level = 5.951 states/eV/cell
Energy of formation = 0.04 eV per atom
Raw total energy = -7.15 eV/atom
Total magnetization = 6.42 μB/f.u.
V = 58.7 Å³/f.u.

Cell and atoms, written as CIF:
```
data_MgMn2Ir
_cell_length_a 2.980
_cell_length_b 4.436
_cell_length_c 8.888
_cell_angle_alpha 90.00
_cell_angle_beta 90.00
_cell_angle_gamma 90.00
_symmetry_space_group_name_H-M 'I m m 2'
_symmetry_Int_Tables_number 44
_symmetry_space_group_name_Hall 'I 2 -2'
loop_
_atom_site_label
_atom_site_type_symbol
_atom_site_fract_x
_atom_site_fract_y
_atom_site_fract_z
_atom_site_occupancy
Mg1 Mg 0.000 0.000 0.000 1
Mn1 Mn 0.000 0.000 0.515 1
Mn2 Mn 0.000 0.500 0.766 1
Ir1 Ir 0.000 0.500 0.244 1
```

Compound: ReOs2Pt
Source: Alexandria
Functional: PBE
Structure: relaxed

Mass density = 21.50 g/cm3
Density of states at the Fermi level = 8.305 states/eV/cell
Energy of formation = 0.11 eV per atom
ΔE to the lowest computed polymorph = 53 meV per atom
Raw total energy = -10.13 eV/atom
Total magnetization = 0.00 μB/f.u.
V = 58.8 Å³/f.u.

Cell and atoms, written as CIF:
```
data_ReOs2Pt
_cell_length_a 5.503
_cell_length_b 7.757
_cell_length_c 2.757
_cell_angle_alpha 90.00
_cell_angle_beta 90.00
_cell_angle_gamma 90.00
_symmetry_space_group_name_H-M 'C m m m'
_symmetry_Int_Tables_number 65
_symmetry_space_group_name_Hall '-C 2 2'
loop_
_atom_site_label
_atom_site_type_symbol
_atom_site_fract_x
_atom_site_fract_y
_atom_site_fract_z
_atom_site_occupancy
Re1 Re 0.000 0.000 0.000 1
Os1 Os 0.250 0.250 0.500 1
Pt1 Pt 0.000 0.500 0.000 1
```

Compound: Ca2InB2O6
Source: Alexandria
Functional: PBE
Structure: relaxed

Mass density = 3.87 g/cm3
Density of states at the Fermi level = 2.813 states/eV/cell
Raw total energy = -6.90 eV/atom
Total magnetization = 0.00 μB/f.u.
V = 134.1 Å³/f.u.
Energy relative to the elements, uncorrected = -2.3705 eV per atom

Cell and atoms, written as CIF:
```
data_Ca2InB2O6
_cell_length_a 9.178
_cell_length_b 5.264
_cell_length_c 6.269
_cell_angle_alpha 90.00
_cell_angle_beta 117.64
_cell_angle_gamma 90.00
_symmetry_space_group_name_H-M 'C 1 2/m 1'
_symmetry_Int_Tables_number 12
_symmetry_space_group_name_Hall '-C 2y'
loop_
_atom_site_label
_atom_site_type_symbol
_atom_site_fract_x
_atom_site_fract_y
_atom_site_fract_z
_atom_site_occupancy
Ca1 Ca 0.204 0.000 0.181 1
In1 In 0.000 0.000 0.500 1
B1 B 0.032 0.500 0.241 1
O1 O 0.061 0.274 0.824 1
O2 O 0.198 0.500 0.382 1
```